# LuTiCd2 | Alexandria via LeMat-Bulk | GGA-PBE | relaxed
data_LuTiCd2
_space_group_name_H-M_alt 'P 4/m m m'
_space_group_IT_number 123
_space_group_name_Hall '-P 4 2'
_cell_length_a 4.4853
_cell_length_b 4.4853
_cell_length_c 4.3312
_cell_angle_alpha 90.00
_cell_angle_beta 90.00
_cell_angle_gamma 90.00
loop_
_atom_site_label
_atom_site_type_symbol
_atom_site_fract_x
_atom_site_fract_y
_atom_site_fract_z
Lu1 Lu 0.0000 0.0000 0.0000
Ti1 Ti 0.5000 0.5000 0.0000
Cd1 Cd 0.0000 0.5000 0.5000
# N(E_F): 0.91 states/eV/atom
# M_tot: 1.4 μB/cell
# Polymorph energy (0 for the lowest one): 0 meV per atom
# Energy relative to the elements: -0.07 eV/atom

***

# AcGa2Pd4 | Alexandria via LeMat-Bulk | GGA-PBE | relaxed
data_AcGa2Pd4
_space_group_name_H-M_alt 'I 4/m m m'
_space_group_IT_number 139
_space_group_name_Hall '-I 4 2'
_cell_length_a 3.8931
_cell_length_b 3.8931
_cell_length_c 18.9579
_cell_angle_alpha 90.00
_cell_angle_beta 90.00
_cell_angle_gamma 90.00
loop_
_atom_site_label
_atom_site_type_symbol
_atom_site_fract_x
_atom_site_fract_y
_atom_site_fract_z
Ac1 Ac 0.0000 0.0000 0.0000
Ga1 Ga 0.0000 0.0000 0.3472
Pd1 Pd 0.0000 0.0000 0.1422
Pd2 Pd 0.0000 0.5000 0.2500
# N(E_F): 0.31 states/eV/atom
# M_tot: 0.0 μB/cell
# Polymorph energy (0 for the lowest one): 263 meV per atom
# Energy relative to the elements: -0.45 eV/atom